Material: LiFeI2O
Method: DFT, PBE+U
State: optimized geometry

Output
ρ   5.21 g/cm3
Total magnetization   4.0 μB/cell
Total DFT energy (no corrections)   -2.83 eV per atom

Unit cell a=5.387 b=5.387 c=3.649 alpha=90.00 beta=90.00 gamma=90.00
Space group P4/mmm (No. 123)
Symmetry-distinct sites (fractional):
Li 0.000 0.000 0.000 x1
Fe 0.500 0.500 0.500 x1
I 0.000 0.500 0.000 x2
O 0.000 0.000 0.500 x1